ScAgSe2 after structural relaxation. Source: Alexandria via LeMat-Bulk, functional GGA-PBEsol.

Calculated values
As for the total energy: -61.5 eV per cell. Its raw formation energy is -0.720 eV/atom. As for the size of the total moment: 0.000 μB/atom.

Cell lengths 4.1409, 4.1409, 19.2942 Å; angles 90.00, 90.00, 120.00 degrees
Last column: nearest neighbours and their distance in Å.
Space group R3m (No. 160, hexagonal axes)
Unique sites:
Sc (0.0000, 0.0000, 0.0000) (multiplicity 3)  3 Se 2.69, 3 Ag 2.98
Ag (0.0000, 0.0000, 0.7593) (multiplicity 3)  3 Se 2.44
Se (0.0000, 0.0000, 0.2692) (multiplicity 3)  3 Sc 2.69
Se (0.0000, 0.0000, 0.4509) (multiplicity 3)  3 Ag 2.44

---

ScAg2Se after structural relaxation. Source: Alexandria via LeMat-Bulk, functional GGA-PBEsol.

Calculated values
As for the total energy: -19.3 eV per cell. Its raw formation energy is -0.548 eV/atom. As for the size of the total moment: 0.000 μB/atom.

Cell lengths 3.5008, 3.5008, 6.2380 Å; angles 90.00, 90.00, 90.00 degrees
Last column: nearest neighbours and their distance in Å.
Space group P4mm (No. 99)
Unique sites:
Sc (0.0000, 0.0000, 0.0000) (multiplicity 1)  4 Se 2.70, 1 Ag 2.95
Ag (0.0000, 0.0000, 0.5269) (multiplicity 1)  4 Ag 2.74, 1 Sc 2.95
Ag (0.5000, 0.5000, 0.7135) (multiplicity 1)  4 Ag 2.74, 1 Se 2.86, 4 Sc 3.05
Se (0.5000, 0.5000, 0.1723) (multiplicity 1)  4 Sc 2.70, 1 Ag 2.86